No. 1
Ta3MnRu2 | Alexandria via LeMat-Bulk | PBE | optimized geometry; ΔH_f (0 K) = -0.300 eV/atom; DOS at the Fermi energy = 5.86 states/eV/cell
1.0
3.068 0.000 0.000
0.000 3.068 0.000
0.000 0.000 9.865
Ta Mn Ru
3 1 2
direct
0.000 0.000 0.000 Ta
0.000 0.000 0.345 Ta
0.000 0.000 0.655 Ta
0.500 0.500 0.500 Mn
0.500 0.500 0.180 Ru
0.500 0.500 0.820 Ru

No. 2
Ta2MnRu | Alexandria via LeMat-Bulk | PBE | optimized geometry; ΔH_f (0 K) = 0.179 eV/atom; DOS at the Fermi energy = 3.94 states/eV/cell
1.0
1.448 0.836 8.945
-1.448 0.836 8.945
0.000 -1.671 8.945
Ta Mn Ru
2 1 1
direct
0.000 0.000 0.000 Ta
0.240 0.240 0.240 Ta
0.492 0.492 0.492 Mn
0.747 0.747 0.747 Ru

No. 3
Ta2MnRu | Alexandria via LeMat-Bulk | PBE | optimized geometry; ΔH_f (0 K) = -0.146 eV/atom; DOS at the Fermi energy = 3.64 states/eV/cell
1.0
-1.569 2.165 4.537
1.569 -2.165 4.537
1.569 2.165 -4.537
Ta Mn Ru
2 1 1
direct
0.000 0.000 0.000 Ta
0.741 0.241 0.500 Ta
0.231 0.731 0.500 Mn
0.495 0.495 0.000 Ru

No. 4
TaMn2Ru | Alexandria via LeMat-Bulk | PBE | optimized geometry; ΔH_f (0 K) = -0.015 eV/atom; DOS at the Fermi energy = 4.32 states/eV/cell
1.0
-1.542 2.107 4.287
1.542 -2.107 4.287
1.542 2.107 -4.287
Ta Mn Ru
1 2 1
direct
0.000 0.000 0.000 Ta
0.258 0.758 0.500 Mn
0.498 0.498 0.000 Mn
0.745 0.245 0.500 Ru

No. 5
TaMn2Ru | Alexandria via LeMat-Bulk | PBE | optimized geometry; ΔH_f (0 K) = 0.107 eV/atom; DOS at the Fermi energy = 4.27 states/eV/cell
1.0
2.742 0.000 0.000
0.000 2.742 0.000
0.000 0.000 7.412
Ta Mn Ru
1 2 1
direct
0.000 0.000 0.000 Ta
0.500 0.500 0.271 Mn
0.500 0.500 0.729 Mn
0.000 0.000 0.500 Ru

No. 6
Ta2Mn2Ru | Alexandria via LeMat-Bulk | PBE | optimized geometry; ΔH_f (0 K) = 0.035 eV/atom; DOS at the Fermi energy = 11.91 states/eV/cell
1.0
6.737 0.000 0.000
0.000 6.737 0.000
0.000 0.000 3.230
Ta Mn Ru
4 4 2
direct
0.192 0.308 0.000 Ta
0.308 0.808 0.000 Ta
0.692 0.192 0.000 Ta
0.808 0.692 0.000 Ta
0.107 0.607 0.500 Mn
0.393 0.107 0.500 Mn
0.607 0.893 0.500 Mn
0.893 0.393 0.500 Mn
0.000 0.000 0.500 Ru
0.500 0.500 0.500 Ru

No. 7
Ta2MnRu | Alexandria via LeMat-Bulk | PBE | optimized geometry; ΔH_f (0 K) = 0.084 eV/atom; DOS at the Fermi energy = 3.36 states/eV/cell
1.0
1.504 0.868 8.049
-1.504 0.868 8.049
0.000 -1.737 8.049
Ta Mn Ru
2 1 1
direct
0.247 0.247 0.247 Ta
0.753 0.753 0.753 Ta
0.500 0.500 0.500 Mn
0.000 0.000 0.000 Ru

No. 8
TaMnRu | Alexandria via LeMat-Bulk | PBE | optimized geometry; ΔH_f (0 K) = 0.116 eV/atom; DOS at the Fermi energy = 13.98 states/eV/cell
1.0
0.000 4.045 8.826
2.443 0.000 8.826
2.443 4.045 0.000
Ta Mn Ru
4 4 4
direct
0.055 0.695 0.055 Ta
0.305 0.945 0.305 Ta
0.695 0.055 0.695 Ta
0.945 0.305 0.945 Ta
0.002 0.002 0.248 Mn
0.248 0.248 0.002 Mn
0.752 0.752 0.998 Mn
0.998 0.998 0.752 Mn
0.301 0.301 0.449 Ru
0.449 0.449 0.301 Ru
0.551 0.551 0.699 Ru
0.699 0.699 0.551 Ru

No. 9
TaMn2Ru | Alexandria via LeMat-Bulk | PBE | optimized geometry; ΔH_f (0 K) = 0.246 eV/atom; DOS at the Fermi energy = 3.65 states/eV/cell
1.0
1.390 0.803 8.670
-1.390 0.803 8.670
0.000 -1.606 8.670
Ta Mn Ru
1 2 1
direct
0.000 0.000 0.000 Ta
0.246 0.246 0.246 Mn
0.754 0.754 0.754 Mn
0.500 0.500 0.500 Ru

No. 10
Ta2MnRu | Alexandria via LeMat-Bulk | PBE | optimized geometry; ΔH_f (0 K) = 0.670 eV/atom; DOS at the Fermi energy = 4.46 states/eV/cell
1.0
-1.467 2.327 5.033
1.467 -2.327 5.033
1.467 2.327 -5.033
Ta Mn Ru
2 1 1
direct
0.246 0.246 0.000 Ta
0.754 0.754 0.000 Ta
0.500 0.500 0.000 Mn
0.000 0.000 0.000 Ru

No. 11
Ta4MnRu | Alexandria via LeMat-Bulk | PBE | optimized geometry; ΔH_f (0 K) = 0.459 eV/atom; DOS at the Fermi energy = 3.62 states/eV/cell
1.0
0.000 3.780 3.780
3.780 0.000 3.780
3.780 3.780 0.000
Ta Mn Ru
4 1 1
direct
0.125 0.125 0.125 Ta
0.125 0.125 0.624 Ta
0.125 0.624 0.125 Ta
0.624 0.125 0.125 Ta
0.750 0.750 0.750 Mn
0.500 0.500 0.500 Ru

No. 12
TaMn8Ru3 | Alexandria via LeMat-Bulk | PBE | optimized geometry; ΔH_f (0 K) = -0.078 eV/atom; DOS at the Fermi energy = 11.07 states/eV/cell
1.0
4.687 0.000 0.000
-2.344 4.059 0.000
0.000 0.000 7.671
Ta Mn Ru
1 8 3
direct
0.000 0.000 0.000 Ta
0.159 0.318 0.685 Mn
0.159 0.841 0.685 Mn
0.333 0.667 0.437 Mn
0.333 0.667 0.938 Mn
0.508 0.016 0.193 Mn
0.508 0.492 0.193 Mn
0.682 0.841 0.685 Mn
0.984 0.492 0.193 Mn
0.000 0.000 0.369 Ru
0.667 0.333 0.507 Ru
0.667 0.333 0.863 Ru

No. 13
Ta2MnRu | Alexandria via LeMat-Bulk | PBE | optimized geometry; ΔH_f (0 K) = -0.061 eV/atom; DOS at the Fermi energy = 3.79 states/eV/cell
1.0
2.782 -4.181 0.000
2.782 4.181 0.000
-0.924 0.000 2.688
Ta Mn Ru
2 1 1
direct
0.000 0.500 0.000 Ta
0.500 0.000 0.000 Ta
0.000 0.000 0.500 Mn
0.500 0.500 0.500 Ru

No. 14
Ta5MnRu4 | Alexandria via LeMat-Bulk | PBE | optimized geometry; ΔH_f (0 K) = -0.296 eV/atom; DOS at the Fermi energy = 11.43 states/eV/cell
1.0
3.063 0.000 0.000
0.000 3.063 0.000
0.000 0.000 16.771
Ta Mn Ru
5 1 4
direct
0.000 0.000 0.000 Ta
0.000 0.000 0.205 Ta
0.000 0.000 0.408 Ta
0.000 0.000 0.592 Ta
0.000 0.000 0.795 Ta
0.500 0.500 0.500 Mn
0.500 0.500 0.097 Ru
0.500 0.500 0.313 Ru
0.500 0.500 0.687 Ru
0.500 0.500 0.903 Ru

No. 15
Ta2MnRu | Alexandria via LeMat-Bulk | PBE | optimized geometry; ΔH_f (0 K) = 0.637 eV/atom; DOS at the Fermi energy = 5.17 states/eV/cell
1.0
-1.947 1.947 9.173
1.947 -1.947 9.173
1.947 1.947 -9.173
Ta Mn Ru
4 2 2
direct
0.123 0.625 0.998 Ta
0.375 0.373 0.498 Ta
0.627 0.125 0.002 Ta
0.875 0.877 0.502 Ta
0.000 0.000 0.000 Mn
0.750 0.250 0.500 Mn
0.250 0.750 0.500 Ru
0.500 0.500 0.000 Ru

No. 16
TaMn3Ru | Alexandria via LeMat-Bulk | PBE | optimized geometry; ΔH_f (0 K) = 2.029 eV/atom; DOS at the Fermi energy = 12.83 states/eV/cell
1.0
4.370 0.000 0.000
0.000 4.370 0.000
0.000 0.000 4.370
Ta Mn Ru
1 3 1
direct
0.000 0.000 0.000 Ta
0.000 0.000 0.500 Mn
0.000 0.500 0.000 Mn
0.500 0.000 0.000 Mn
0.500 0.500 0.500 Ru

No. 17
TaMnRu3 | Alexandria via LeMat-Bulk | PBE | optimized geometry; ΔH_f (0 K) = 1.479 eV/atom; DOS at the Fermi energy = 7.13 states/eV/cell
1.0
4.703 0.000 0.000
0.000 4.703 0.000
0.000 0.000 4.703
Ta Mn Ru
1 1 3
direct
0.000 0.000 0.000 Ta
0.500 0.500 0.500 Mn
0.000 0.000 0.500 Ru
0.000 0.500 0.000 Ru
0.500 0.000 0.000 Ru

No. 18
Ta2MnRu | Alexandria via LeMat-Bulk | PBE | optimized geometry; ΔH_f (0 K) = -0.063 eV/atom; DOS at the Fermi energy = 4.08 states/eV/cell
1.0
0.000 3.150 3.150
3.150 0.000 3.150
3.150 3.150 0.000
Ta Mn Ru
2 1 1
direct
0.000 0.000 0.000 Ta
0.250 0.250 0.250 Ta
0.500 0.500 0.500 Mn
0.750 0.750 0.750 Ru

No. 19
Ta2MnRu | Alexandria via LeMat-Bulk | PBE | optimized geometry; ΔH_f (0 K) = -0.044 eV/atom; DOS at the Fermi energy = 4.48 states/eV/cell
1.0
1.608 -2.324 0.000
1.608 2.324 0.000
0.000 0.000 8.249
Ta Mn Ru
2 1 1
direct
0.000 0.000 0.239 Ta
0.000 0.000 0.761 Ta
0.500 0.500 0.000 Mn
0.500 0.500 0.500 Ru

No. 20
TaMnRu | Alexandria via LeMat-Bulk | PBE | optimized geometry; ΔH_f (0 K) = -0.030 eV/atom; DOS at the Fermi energy = 2.38 states/eV/cell
1.0
4.322 0.000 0.000
-2.161 3.743 0.000
0.000 0.000 2.810
Ta Mn Ru
1 1 1
direct
0.000 0.000 0.000 Ta
0.667 0.333 0.340 Mn
0.333 0.667 0.686 Ru

No. 21
TaMnRu3 | Alexandria via LeMat-Bulk | PBE | optimized geometry; ΔH_f (0 K) = 1.058 eV/atom; DOS at the Fermi energy = 7.96 states/eV/cell
1.0
4.362 0.000 0.000
0.000 4.362 0.000
0.000 0.000 4.362
Ta Mn Ru
1 1 3
direct
0.000 0.000 0.000 Ta
0.500 0.500 0.500 Mn
0.000 0.500 0.500 Ru
0.500 0.000 0.500 Ru
0.500 0.500 0.000 Ru

No. 22
TaMn2Ru | Alexandria via LeMat-Bulk | PBE | optimized geometry; ΔH_f (0 K) = -0.093 eV/atom; DOS at the Fermi energy = 3.62 states/eV/cell
1.0
3.076 0.000 0.000
0.000 3.076 0.000
0.000 0.000 5.944
Ta Mn Ru
1 2 1
direct
0.000 0.000 0.000 Ta
0.000 0.000 0.479 Mn
0.500 0.500 0.258 Mn
0.500 0.500 0.736 Ru

No. 23
TaMn2Ru | Alexandria via LeMat-Bulk | PBE | optimized geometry; ΔH_f (0 K) = 0.486 eV/atom; DOS at the Fermi energy = 8.05 states/eV/cell
1.0
-3.415 3.415 2.614
3.415 -3.415 2.614
3.415 3.415 -2.614
Ta Mn Ru
2 4 2
direct
0.000 0.000 0.000 Ta
0.750 0.250 0.500 Ta
0.143 0.625 0.018 Mn
0.375 0.393 0.518 Mn
0.607 0.125 0.982 Mn
0.875 0.857 0.482 Mn
0.250 0.750 0.500 Ru
0.500 0.500 0.000 Ru

No. 24
Ta2MnRu | Alexandria via LeMat-Bulk | PBE | optimized geometry; ΔH_f (0 K) = -0.097 eV/atom; DOS at the Fermi energy = 2.94 states/eV/cell
1.0
3.229 0.000 0.000
0.000 4.272 0.000
0.000 0.000 4.537
Ta Mn Ru
2 1 1
direct
0.000 0.000 0.000 Ta
0.500 0.000 0.500 Ta
0.000 0.500 0.500 Mn
0.500 0.500 0.000 Ru

No. 25
Ta2MnRu | Alexandria via LeMat-Bulk | PBE | optimized geometry; ΔH_f (0 K) = -0.130 eV/atom; DOS at the Fermi energy = 3.68 states/eV/cell
1.0
3.166 0.000 0.000
0.000 3.166 0.000
0.000 0.000 6.291
Ta Mn Ru
2 1 1
direct
0.000 0.000 0.000 Ta
0.500 0.500 0.286 Ta
0.000 0.000 0.514 Mn
0.500 0.500 0.765 Ru

No. 26
TaMn2Ru | Alexandria via LeMat-Bulk | PBE | optimized geometry; ΔH_f (0 K) = -0.115 eV/atom; DOS at the Fermi energy = 3.30 states/eV/cell
1.0
3.102 0.000 0.000
0.000 4.216 0.000
0.000 0.000 4.297
Ta Mn Ru
1 2 1
direct
0.000 0.000 0.000 Ta
0.000 0.500 0.500 Mn
0.500 0.500 0.000 Mn
0.500 0.000 0.500 Ru

No. 27
Ta3MnRu | Alexandria via LeMat-Bulk | PBE | optimized geometry; ΔH_f (0 K) = 0.928 eV/atom; DOS at the Fermi energy = 6.84 states/eV/cell
1.0
4.516 0.000 0.000
0.000 4.516 0.000
0.000 0.000 4.516
Ta Mn Ru
3 1 1
direct
0.000 0.000 0.500 Ta
0.000 0.500 0.000 Ta
0.500 0.000 0.000 Ta
0.000 0.000 0.000 Mn
0.500 0.500 0.500 Ru

No. 28
TaMnRu | Alexandria via LeMat-Bulk | PBE | optimized geometry; ΔH_f (0 K) = -0.134 eV/atom; DOS at the Fermi energy = 2.33 states/eV/cell
1.0
-1.565 1.565 4.637
1.565 -1.565 4.637
1.565 1.565 -4.637
Ta Mn Ru
1 1 1
direct
0.000 0.000 0.000 Ta
0.669 0.669 0.000 Mn
0.338 0.338 0.000 Ru